# SrLi2AgAu5

A relaxed SrLi2AgAu5 crystal (PBE, Alexandria via LeMat-Bulk).

```
SrLi2AgAu5
1.0
-2.909 -1.088 3.735
3.141 -3.408 1.454
3.543 5.073 4.237
Sr Li Ag Au
1 2 1 5
direct
0.000 0.000 0.500
0.500 0.500 0.156
0.500 0.500 0.844
0.000 0.000 0.000
0.000 0.500 0.214
0.500 0.000 0.214
0.000 0.500 0.786
0.500 0.000 0.786
0.500 0.500 0.500
```

For the total magnetic moment, the calculation gives 0.000 μB per formula unit. The volume comes out at 176.9 Å³ per cell. The formation enthalpy at 0 K comes out at -2.82 eV per formula unit.


# Na2LaZnC

A relaxed Na2LaZnC crystal (PBE, Alexandria via LeMat-Bulk).

```
Na2LaZnC
1.0
5.099 0.000 0.000
0.000 4.784 0.000
0.000 0.000 5.099
Na Zn C La
2 1 1 1
direct
0.000 0.000 0.500
0.500 0.000 0.000
0.500 0.500 0.500
0.000 0.000 0.000
0.000 0.500 0.000
```

For the total magnetic moment, the calculation gives 0.000 μB per formula unit. The volume comes out at 124.4 Å³ per cell. The formation enthalpy at 0 K comes out at 1.94 eV per formula unit.


# InSb2TeN

A relaxed InSb2TeN crystal (PBE, Alexandria via LeMat-Bulk).

```
InSb2TeN
1.0
-4.867 2.803 0.844
-2.483 -4.820 1.689
1.575 1.096 5.443
Sb N Te In
2 1 1 1
direct
0.000 0.500 0.000
0.500 0.000 0.000
0.500 0.500 0.500
0.000 0.000 0.500
0.000 0.000 0.000
```

The value obtained for the uncorrected formation energy is 157.61 kJ per mole of atoms. For the total magnetic moment, the calculation gives 2.354 μB per formula unit. The volume comes out at 186.1 Å³ per cell.


# LiTaAs2

A relaxed LiTaAs2 crystal (PBE, Alexandria via LeMat-Bulk).

```
LiTaAs2
1.0
3.624 0.000 0.000
1.812 3.138 0.000
1.812 1.046 6.700
Li Ta As
1 1 2
direct
0.500 0.500 0.501
0.667 0.667 0.999
0.079 0.079 0.763
0.254 0.254 0.237
```

For the total magnetic moment, the calculation gives 0.000 μB per formula unit. The volume comes out at 76.2 Å³ per cell. The formation enthalpy at 0 K comes out at -1.74 eV per formula unit.


# HoErCuNi

A relaxed HoErCuNi crystal (PBE, Alexandria via LeMat-Bulk).

```
HoErCuNi
1.0
3.659 0.000 0.000
0.000 4.381 0.000
-1.829 0.000 5.065
Ho Er Cu Ni
1 1 1 1
direct
0.139 0.000 0.279
0.861 0.500 0.722
0.573 0.500 0.145
0.427 0.000 0.854
```

For the total magnetic moment, the calculation gives 0.000 μB per formula unit. The volume comes out at 81.2 Å³ per cell. The formation enthalpy at 0 K comes out at -1.53 eV per formula unit.


# NdEr4Sc3

A relaxed NdEr4Sc3 crystal (PBE, Alexandria via LeMat-Bulk).

```
NdEr4Sc3
1.0
3.235 0.885 0.197
2.592 9.241 1.894
-1.937 -1.178 8.254
Sc Nd Er
3 1 4
direct
0.737 0.263 0.263
0.263 0.737 0.737
0.000 0.500 0.500
0.500 0.000 0.000
0.617 0.125 0.605
0.383 0.875 0.395
0.345 0.395 0.875
0.655 0.605 0.125
```

For the total magnetic moment, the calculation gives 0.000 μB per formula unit. The volume comes out at 234.7 Å³ per cell. The formation enthalpy at 0 K comes out at 1.07 eV per formula unit.


# Tb10In3Te3

A relaxed Tb10In3Te3 crystal (PBE, Alexandria via LeMat-Bulk).

```
Tb10In3Te3
1.0
6.441 0.000 0.000
0.000 7.839 -4.526
0.000 0.000 9.052
Tb In Te
10 3 3
direct
0.251 0.667 0.333
0.251 0.333 0.667
0.749 0.333 0.667
0.749 0.667 0.333
0.500 0.000 0.762
0.500 0.762 0.000
0.500 0.238 0.238
0.000 0.000 0.242
0.000 0.242 0.000
0.000 0.758 0.758
0.500 0.000 0.393
0.500 0.393 0.000
0.500 0.607 0.607
0.000 0.000 0.612
0.000 0.612 0.000
0.000 0.388 0.388
```

The value obtained for the uncorrected formation energy is -68.50 kJ per mole of atoms. For the total magnetic moment, the calculation gives 0.016 μB per formula unit. The volume comes out at 457.1 Å³ per cell.


# Ta2CuSb

A relaxed Ta2CuSb crystal (PBE, Alexandria via LeMat-Bulk).

```
Ta2CuSb
1.0
-1.219 1.098 2.532
0.452 -2.938 0.514
7.699 1.704 2.968
Cu Sb Ta
1 1 2
direct
0.000 0.000 0.489
0.500 0.500 0.743
0.000 0.000 0.007
0.500 0.500 0.261
```

The value obtained for the uncorrected formation energy is 16.41 kJ per mole of atoms. For the total magnetic moment, the calculation gives 0.000 μB per formula unit. The volume comes out at 73.8 Å³ per cell.


# Al3SCl

A relaxed Al3SCl crystal (PBE, Alexandria via LeMat-Bulk).

```
Al3SCl
1.0
-4.706 -1.629 -1.630
2.227 -2.261 -4.170
0.593 -4.438 2.723
S Al Cl
1 3 1
direct
0.500 0.500 0.500
0.000 0.500 0.000
0.000 0.000 0.500
0.500 0.000 0.000
0.000 0.000 0.000
```

The value obtained for the uncorrected formation energy is 66.69 kJ per mole of atoms. For the total magnetic moment, the calculation gives 0.000 μB per formula unit. The volume comes out at 143.9 Å³ per cell.


# NdTi2Ge2

A relaxed NdTi2Ge2 crystal (PBE, Alexandria via LeMat-Bulk).

```
NdTi2Ge2
1.0
-1.592 1.697 3.397
-3.699 0.139 -1.803
1.410 -6.330 1.328
Nd Ti Ge
1 2 2
direct
0.000 0.000 0.000
0.750 0.250 0.500
0.250 0.750 0.500
0.610 0.610 0.221
0.390 0.390 0.779
```

For the total magnetic moment, the calculation gives 0.001 μB per formula unit. The volume comes out at 100.8 Å³ per cell. The formation enthalpy at 0 K comes out at -3.37 eV per formula unit.


# GaNi2N

A relaxed GaNi2N crystal (PBE, Alexandria via LeMat-Bulk).

```
GaNi2N
1.0
-2.144 -0.667 -1.738
0.338 -2.028 -1.959
-2.844 -5.741 3.394
Ni Ga N
2 1 1
direct
0.117 0.117 0.650
0.883 0.883 0.350
0.000 0.000 0.000
0.500 0.500 0.500
```

The value obtained for the uncorrected formation energy is 31.10 kJ per mole of atoms. For the total magnetic moment, the calculation gives 0.000 μB per formula unit. The volume comes out at 49.3 Å³ per cell.


# Na3CaH

A relaxed Na3CaH crystal (PBE, Alexandria via LeMat-Bulk).

```
Na3CaH
1.0
5.265 0.000 0.000
0.000 5.265 0.000
0.000 0.000 5.265
Na Ca H
3 1 1
direct
0.000 0.500 0.000
0.000 0.000 0.500
0.500 0.000 0.000
0.500 0.500 0.500
0.000 0.000 0.000
```

The value obtained for the uncorrected energy is -1.707 eV per atom. For the total magnetic moment, the calculation gives 0.000 μB per formula unit. The volume comes out at 146.0 Å³ per cell.


# Ca2HPt

A relaxed Ca2HPt crystal (PBE, Alexandria via LeMat-Bulk).

```
Ca2HPt
1.0
3.961 0.000 0.000
1.980 3.430 0.000
1.980 1.143 6.345
H Ca Pt
1 2 1
direct
0.500 0.500 0.500
0.245 0.245 0.264
0.755 0.755 0.736
0.000 0.000 0.000
```

The value obtained for the uncorrected energy is -3.882 eV per atom. For the total magnetic moment, the calculation gives 0.001 μB per formula unit. The volume comes out at 86.2 Å³ per cell.


# MnCuAg3

A relaxed MnCuAg3 crystal (PBE, Alexandria via LeMat-Bulk).

```
MnCuAg3
1.0
-0.227 -4.756 -0.167
3.776 -0.078 -2.903
2.895 -0.271 3.774
Mn Cu Ag
1 1 3
direct
0.500 0.500 0.500
0.000 0.000 0.000
0.000 0.500 0.000
0.000 0.000 0.500
0.500 0.000 0.000
```

For the total magnetic moment, the calculation gives 4.560 μB per formula unit. The volume comes out at 108.1 Å³ per cell. The formation enthalpy at 0 K comes out at 3.97 eV per formula unit.


# TcTe2Se

A relaxed TcTe2Se crystal (PBE, Alexandria via LeMat-Bulk).

```
TcTe2Se
1.0
4.910 -0.004 0.031
3.849 3.048 0.031
2.719 0.945 6.795
Se Tc Te
1 1 2
direct
0.445 0.445 0.585
0.723 0.723 0.644
0.079 0.079 0.956
0.252 0.252 0.315
```

The value obtained for the uncorrected formation energy is 7.42 kJ per mole of atoms. For the total magnetic moment, the calculation gives 0.000 μB per formula unit. The volume comes out at 101.5 Å³ per cell.


# NdMgTl2

A relaxed NdMgTl2 crystal (PBE, Alexandria via LeMat-Bulk).

```
NdMgTl2
1.0
-0.843 -1.878 -3.041
1.724 -2.951 1.345
-6.735 -2.405 3.352
Tl Nd Mg
2 1 1
direct
0.000 0.000 0.774
0.000 0.000 0.226
0.500 0.500 0.500
0.500 0.500 0.000
```

For the total magnetic moment, the calculation gives 0.000 μB per formula unit. The volume comes out at 106.5 Å³ per cell. The formation enthalpy at 0 K comes out at -0.92 eV per formula unit.


# LaMgGaGe

A relaxed LaMgGaGe crystal (PBE, Alexandria via LeMat-Bulk).

```
LaMgGaGe
1.0
5.067 0.000 0.000
2.533 4.388 0.000
2.533 1.463 4.137
Ge Mg Ga La
1 1 1 1
direct
0.750 0.750 0.750
0.500 0.500 0.500
0.250 0.250 0.250
0.000 0.000 0.000
```

For the total magnetic moment, the calculation gives 0.000 μB per formula unit. The volume comes out at 92.0 Å³ per cell. The formation enthalpy at 0 K comes out at -1.73 eV per formula unit.


# TbMgAu2

A relaxed TbMgAu2 crystal (PBE, Alexandria via LeMat-Bulk).

```
TbMgAu2
1.0
-0.890 1.385 -3.066
0.320 -3.123 -1.503
-6.672 -1.327 1.337
Tb Mg Au
1 1 2
direct
0.500 0.500 0.500
0.500 0.500 0.000
0.000 0.000 0.768
0.000 0.000 0.232
```

For the total magnetic moment, the calculation gives 0.000 μB per formula unit. The volume comes out at 84.0 Å³ per cell. The formation enthalpy at 0 K comes out at -2.90 eV per formula unit.


# In3CoH

A relaxed In3CoH crystal (PBE, Alexandria via LeMat-Bulk).

```
In3CoH
1.0
-2.479 1.356 -4.016
1.276 -4.198 -2.205
-4.042 -2.157 1.767
H Co In
1 1 3
direct
0.500 0.500 0.500
0.000 0.000 0.000
0.000 0.500 0.000
0.000 0.000 0.500
0.500 0.000 0.000
```

The value obtained for the uncorrected energy is -3.376 eV per atom. For the total magnetic moment, the calculation gives 0.297 μB per formula unit. The volume comes out at 118.4 Å³ per cell.


# Sm3Re2N6

A relaxed Sm3Re2N6 crystal (PBE, Alexandria via LeMat-Bulk).

```
Sm3Re2N6
1.0
-2.862 2.595 -0.698
0.400 -0.597 -3.860
-5.297 -8.086 2.698
Sm Re N
3 2 6
direct
0.000 0.000 0.000
0.816 0.816 0.631
0.184 0.184 0.369
0.409 0.409 0.818
0.591 0.591 0.182
0.087 0.587 0.173
0.587 0.087 0.173
0.913 0.413 0.827
0.413 0.913 0.827
0.698 0.698 0.395
0.302 0.302 0.605
```

The value obtained for the uncorrected formation energy is -84.57 kJ per mole of atoms. For the total magnetic moment, the calculation gives 0.000 μB per formula unit. The volume comes out at 148.7 Å³ per cell.


# NaSrPu2O8

A relaxed NaSrPu2O8 crystal (PBE, Alexandria via LeMat-Bulk).

```
NaSrPu2O8
1.0
-2.935 3.125 -3.425
-1.817 -4.504 -2.553
-1.611 0.473 6.209
Na Sr Pu O
1 1 2 8
direct
0.750 0.250 0.500
0.000 0.000 0.000
0.500 0.500 0.000
0.250 0.750 0.500
0.874 0.838 0.252
0.379 0.414 0.252
0.585 0.621 0.747
0.162 0.126 0.747
0.874 0.415 0.253
0.379 0.838 0.253
0.162 0.621 0.748
0.586 0.126 0.748
```

The value obtained for the uncorrected formation energy is -218.05 kJ per mole of atoms. For the total magnetic moment, the calculation gives 3.000 μB per formula unit. The volume comes out at 154.5 Å³ per cell.


# CrGaI2N

A relaxed CrGaI2N crystal (PBE, Alexandria via LeMat-Bulk).

```
CrGaI2N
1.0
-4.667 -3.135 -1.227
1.775 -4.074 3.656
-1.833 1.657 2.736
I Cr Ga N
2 1 1 1
direct
0.000 0.500 0.000
0.500 0.000 0.000
0.000 0.000 0.000
0.500 0.500 0.500
0.000 0.000 0.500
```

The value obtained for the uncorrected formation energy is 3.92 kJ per mole of atoms. For the total magnetic moment, the calculation gives 1.997 μB per formula unit. The volume comes out at 122.1 Å³ per cell.


# BeBiP2I

A relaxed BeBiP2I crystal (PBE, Alexandria via LeMat-Bulk).

```
BeBiP2I
1.0
-4.842 -1.474 -1.247
-0.543 -1.788 4.223
-1.831 4.575 1.701
I P Bi Be
1 2 1 1
direct
0.000 0.000 0.000
0.000 0.000 0.500
0.500 0.000 0.000
0.500 0.500 0.500
0.000 0.500 0.000
```

The value obtained for the uncorrected formation energy is 121.49 kJ per mole of atoms. For the total magnetic moment, the calculation gives 0.000 μB per formula unit. The volume comes out at 125.5 Å³ per cell.


# Hf2ZrBi

A relaxed Hf2ZrBi crystal (PBE, Alexandria via LeMat-Bulk).

```
Hf2ZrBi
1.0
4.200 0.000 -0.610
0.000 4.254 0.000
-0.634 0.000 10.715
Hf Zr Bi
4 2 2
direct
0.555 0.250 0.107
0.445 0.750 0.893
0.055 0.750 0.108
0.945 0.250 0.892
0.699 0.750 0.388
0.301 0.250 0.612
0.167 0.250 0.328
0.833 0.750 0.672
```

For the total magnetic moment, the calculation gives 0.000 μB per formula unit. The volume comes out at 189.8 Å³ per cell. The formation enthalpy at 0 K comes out at -0.78 eV per formula unit.


# Ba2BeZnTe

A relaxed Ba2BeZnTe crystal (PBE, Alexandria via LeMat-Bulk).

```
Ba2BeZnTe
1.0
6.596 0.000 0.000
0.000 4.630 0.000
0.000 0.000 6.596
Be Zn Te Ba
1 1 1 2
direct
0.000 0.500 0.000
0.500 0.500 0.500
0.000 0.000 0.000
0.000 0.000 0.500
0.500 0.000 0.000
```

The value obtained for the uncorrected formation energy is 1.54 kJ per mole of atoms. For the total magnetic moment, the calculation gives 0.000 μB per formula unit. The volume comes out at 201.4 Å³ per cell.


# LaCrIr2

A relaxed LaCrIr2 crystal (PBE, Alexandria via LeMat-Bulk).

```
LaCrIr2
1.0
-1.114 -2.043 1.735
2.447 -2.584 -1.471
4.481 1.559 4.713
Cr Ir La
1 2 1
direct
0.500 0.500 0.838
0.000 0.000 0.972
0.500 0.500 0.209
0.000 0.000 0.480
```

For the total magnetic moment, the calculation gives 2.327 μB per formula unit. The volume comes out at 74.8 Å³ per cell. The formation enthalpy at 0 K comes out at 0.37 eV per formula unit.


# Ac2Ga3Ge4

A relaxed Ac2Ga3Ge4 crystal (PBE, Alexandria via LeMat-Bulk).

```
Ac2Ga3Ge4
1.0
6.293 0.000 0.000
0.000 8.385 0.000
-3.147 0.000 7.834
Ac Ga Ge
4 6 8
direct
0.117 0.581 0.234
0.883 0.419 0.766
0.383 0.081 0.766
0.617 0.919 0.234
0.000 0.000 0.000
0.500 0.500 0.000
0.535 0.750 0.571
0.965 0.250 0.429
0.465 0.250 0.429
0.035 0.750 0.571
0.700 0.750 0.900
0.800 0.250 0.100
0.300 0.250 0.100
0.200 0.750 0.900
0.187 0.947 0.375
0.813 0.053 0.625
0.313 0.447 0.625
0.687 0.553 0.375
```

For the total magnetic moment, the calculation gives 0.000 μB per formula unit. The volume comes out at 413.4 Å³ per cell. The formation enthalpy at 0 K comes out at -3.80 eV per formula unit.